# CdAgRuF6

An optimized crystal structure of CdAgRuF6 (PBE-GGA, Alexandria).

a b c (Å): 5.8356 5.8356 9.6168
angles (deg): 90.00 90.00 120.00
Closest atoms and distances in Å follow each position.
Space group P-31c (No. 163)
Symmetry-distinct sites (fractional):
Cd  0.3333  0.6667  0.2500 (multiplicity 2)  6 F 2.29
Ag  0.0000  0.0000  0.0000 (multiplicity 2)  6 F 2.49
Ru  0.3333  0.6667  0.7500 (multiplicity 2)  6 F 2.03
F  0.0328  0.3767  0.6386 (multiplicity 12)  1 Ru 2.03

## Properties
**VASP energy**: -4.322 eV per atom
**Energy relative to the elements, uncorrected**: -37.47 kcal/mol of atoms
**Crystal system**: trigonal

---

# CdAgSeF

An optimized crystal structure of CdAgSeF (PBE-GGA, Alexandria).

a b c (Å): 4.7470 4.7470 26.1904
angles (deg): 90.00 90.00 120.00
Closest atoms and distances in Å follow each position.
Space group R-3m (No. 166, hexagonal axes)
Symmetry-distinct sites (fractional):
Cd  0.0000  0.0000  0.2149 (multiplicity 6)  1 F 2.26
Ag  0.0000  0.0000  0.3888 (multiplicity 6)  1 F 2.29
Se  0.0000  0.0000  0.1089 (multiplicity 6)  4 Cd 2.75-2.78, 3 Ag 3.08
F  0.0000  0.0000  0.3012 (multiplicity 6)  1 Cd 2.26, 1 Ag 2.29

## Properties
**VASP energy**: -3.040 eV per atom
**Energy relative to the elements, uncorrected**: -17.51 kcal/mol of atoms
**Crystal system**: trigonal

---

# CdAg2SnF8

An optimized crystal structure of CdAg2SnF8 (PBE-GGA, Alexandria).

a b c (Å): 5.1027 7.1271 5.6806
angles (deg): 90.00 93.19 90.00
Closest atoms and distances in Å follow each position.
Space group P2/m (No. 10)
Symmetry-distinct sites (fractional):
Cd  0.0000  0.0000  0.0000 (multiplicity 1)  2 F 2.11
Ag  0.5000  0.2470  0.5000 (multiplicity 2)  6 F 2.38-2.59
Sn  0.0000  0.5000  0.0000 (multiplicity 1)  6 F 2.00-2.02
F  0.1786  0.2881  0.8338 (multiplicity 4)  1 Sn 2.02
F  0.2829  0.5000  0.2586 (multiplicity 2)  1 Sn 2.00
F  0.2949  0.0000  0.2751 (multiplicity 2)  1 Cd 2.11

## Properties
**VASP energy**: -4.040 eV per atom
**Energy relative to the elements, uncorrected**: -43.99 kcal/mol of atoms
**Crystal system**: monoclinic

---

# SrCdAg2F6

An optimized crystal structure of SrCdAg2F6 (PBE-GGA, Alexandria).

a b c (Å): 6.0633 6.2606 10.6196
angles (deg): 90.00 123.95 90.00
Closest atoms and distances in Å follow each position.
Space group P2_1/c (No. 14)
Symmetry-distinct sites (fractional):
Sr  0.0000  0.0000  0.0000 (multiplicity 2)  6 F 2.41-2.47
Cd  0.5000  0.0000  0.5000 (multiplicity 2)  6 F 2.24-2.33
Ag  0.2687  0.0602  0.7511 (multiplicity 4)  4 F 2.43-2.50
F  0.1281  0.0803  0.2600 (multiplicity 4)  1 Cd 2.33, 2 Ag 2.43-2.50, 1 Sr 2.47
F  0.2669  0.6810  0.0709 (multiplicity 4)  1 Cd 2.24, 1 Sr 2.41, 1 Ag 2.43
F  0.4005  0.1990  0.0756 (multiplicity 4)  1 Cd 2.26, 1 Sr 2.43, 1 Ag 2.43

## Properties
**VASP energy**: -4.142 eV per atom
**Energy relative to the elements, uncorrected**: -50.48 kcal/mol of atoms
**Crystal system**: monoclinic

---

# TaCdAgF2

An optimized crystal structure of TaCdAgF2 (PBE-GGA, Alexandria).

a b c (Å): 4.0769 4.0769 5.7622
angles (deg): 90.00 90.00 90.00
Closest atoms and distances in Å follow each position.
Space group P4/mmm (No. 123)
Symmetry-distinct sites (fractional):
Ta  0.0000  0.0000  0.0000 (multiplicity 1)  4 F 2.04
Cd  0.5000  0.5000  0.5000 (multiplicity 1)  4 Ag 2.88
Ag  0.0000  0.0000  0.5000 (multiplicity 1)  2 Ta 2.88, 4 Cd 2.88
F  0.0000  0.5000  0.0000 (multiplicity 2)  2 Ta 2.04

## Properties
**VASP energy**: -4.869 eV per atom
**Energy relative to the elements, uncorrected**: -22.97 kcal/mol of atoms
**Crystal system**: tetragonal

---

# CdTcAgF6

An optimized crystal structure of CdTcAgF6 (PBE-GGA, Alexandria).

a b c (Å): 5.9722 5.9722 9.2109
angles (deg): 90.00 90.00 120.00
Closest atoms and distances in Å follow each position.
Space group P-31c (No. 163)
Symmetry-distinct sites (fractional):
Cd  0.3333  0.6667  0.2500 (multiplicity 2)  6 F 2.31
Tc  0.3333  0.6667  0.7500 (multiplicity 2)  6 F 2.04
Ag  0.0000  0.0000  0.0000 (multiplicity 2)  6 F 2.51
F  0.0331  0.3788  0.6379 (multiplicity 12)  1 Tc 2.04

## Properties
**VASP energy**: -4.549 eV per atom
**Energy relative to the elements, uncorrected**: -39.92 kcal/mol of atoms
**Crystal system**: trigonal

---

> Among the records above, which one has the highest energy relative to the elements, uncorrected?

CdAgSeF

---

> Which of these has the lowest VASP energy?

TaCdAgF2

---

> The highest VASP energy belongs to which entry?

CdAgSeF

---

> Among the records above, which one has the lowest energy relative to the elements, uncorrected?

SrCdAg2F6